No. 1
Computed, not measured: a relaxed Sr2TaSe crystal at the PBE level of DFT.

a = 7.908 Å, b = 7.908 Å, c = 7.908 Å
α = 90.00°, β = 90.00°, γ = 90.00°
Space group Fm-3m (No. 225)
Unique sites:
Sr1 0.250 0.250 0.250
Ta1 0.000 0.000 0.000
Se1 0.000 0.000 0.500

Uncorrected formation energy in eV per atom: 0.392
DOS at the Fermi energy in states/eV per cell: 12.0
Magnetic moment in μB per atom: 1.14
Polymorph energy (0 for the lowest one) in eV/atom: 0.451

---

No. 2
Computed, not measured: a relaxed Sr2TaSe crystal at the PBE level of DFT.

a = 3.536 Å, b = 5.673 Å, c = 11.509 Å
α = 90.00°, β = 90.00°, γ = 90.00°
Space group Imm2 (No. 44)
Unique sites:
Sr1 0.000 0.000 0.000
Sr2 0.000 0.500 0.188
Ta1 0.000 0.500 0.787
Se1 0.000 0.000 0.454

Uncorrected formation energy in eV per atom: -0.023
DOS at the Fermi energy in states/eV per cell: 9.4
Magnetic moment in μB per atom: 0.13
Polymorph energy (0 for the lowest one) in eV/atom: 0.036

---

No. 3
Computed, not measured: a relaxed Sr2TaSe crystal at the PBE level of DFT.

a = 7.630 Å, b = 7.947 Å, c = 3.942 Å
α = 90.00°, β = 90.00°, γ = 90.00°
Space group Cmmm (No. 65)
Unique sites:
Sr1 0.250 0.250 0.000
Ta1 0.000 0.000 0.500
Se1 0.000 0.500 0.500

Uncorrected formation energy in eV per atom: 0.216
DOS at the Fermi energy in states/eV per cell: 6.1
Magnetic moment in μB per atom: 0.99
Polymorph energy (0 for the lowest one) in eV/atom: 0.275

---

No. 4
Computed, not measured: a relaxed SrTaSe2 crystal at the PBE level of DFT.

a = 5.012 Å, b = 3.678 Å, c = 10.322 Å
α = 90.00°, β = 90.00°, γ = 90.00°
Space group Amm2 (No. 38)
Unique sites:
Sr1 0.000 0.000 0.000
Ta1 0.500 0.000 0.728
Se1 0.000 0.000 0.720
Se2 0.500 0.000 0.425

Uncorrected formation energy in eV per atom: -0.788
DOS at the Fermi energy in states/eV per cell: 3.0
Magnetic moment in μB per atom: 0.00
Polymorph energy (0 for the lowest one) in eV/atom: 0.053

---

No. 5
Computed, not measured: a relaxed SrTaSe3 crystal at the PBE level of DFT.

a = 5.483 Å, b = 5.483 Å, c = 5.483 Å
α = 90.00°, β = 90.00°, γ = 90.00°
Space group Pm-3m (No. 221)
Unique sites:
Sr1 0.000 0.000 0.000
Ta1 0.500 0.500 0.500
Se1 0.000 0.000 0.500

Uncorrected formation energy in eV per atom: 1.137
DOS at the Fermi energy in states/eV per cell: 8.8
Magnetic moment in μB per atom: 0.05

---

No. 6
Computed, not measured: a relaxed SrTaSe crystal at the PBE level of DFT.

a = 6.741 Å, b = 6.741 Å, c = 6.741 Å
α = 90.00°, β = 90.00°, γ = 90.00°
Space group F-43m (No. 216)
Unique sites:
Sr1 0.000 0.000 0.000
Ta1 0.000 0.000 0.500
Se1 0.250 0.250 0.750

Uncorrected formation energy in eV per atom: 0.482
DOS at the Fermi energy in states/eV per cell: 11.0
Magnetic moment in μB per atom: 0.34
Polymorph energy (0 for the lowest one) in eV/atom: 0.675

---

No. 7
Computed, not measured: a relaxed Sr2TaSe crystal at the PBE level of DFT.

a = 4.493 Å, b = 4.623 Å, c = 11.931 Å
α = 90.00°, β = 90.00°, γ = 90.00°
Space group Amm2 (No. 38)
Unique sites:
Sr1 0.000 0.000 0.000
Sr2 0.500 0.000 0.296
Ta1 0.000 0.000 0.702
Se1 0.500 0.000 0.596

Uncorrected formation energy in eV per atom: -0.009
DOS at the Fermi energy in states/eV per cell: 7.3
Magnetic moment in μB per atom: 0.24
Polymorph energy (0 for the lowest one) in eV/atom: 0.049

---

No. 8
Computed, not measured: a relaxed SrTaSe2 crystal at the PBE level of DFT.

a = 3.659 Å, b = 6.425 Å, c = 8.826 Å
α = 90.00°, β = 90.00°, γ = 90.00°
Space group Immm (No. 71)
Unique sites:
Sr1 0.000 0.000 0.000
Ta1 0.000 0.000 0.500
Se1 0.000 0.500 0.203

Uncorrected formation energy in eV per atom: -0.669
DOS at the Fermi energy in states/eV per cell: 4.5
Magnetic moment in μB per atom: 0.00
Polymorph energy (0 for the lowest one) in eV/atom: 0.172